(1)
First-principles (PBE-GGA) data for crystalline NpRhS2 at its relaxed geometry, as listed in the Alexandria database.

```
data_NpRhS2
_chemical_formula_sum 'Np1 Rh1 S2'
_cell_length_a 8.243
_cell_length_b 8.243
_cell_length_c 8.243
_cell_angle_alpha 24.51
_cell_angle_beta 24.51
_cell_angle_gamma 24.51
_space_group_name_H-M_alt 'P 1'
_space_group_IT_number 1
loop_
_space_group_symop_operation_xyz
'x,y,z'
loop_
_atom_site_label
_atom_site_type_symbol
_atom_site_fract_x
_atom_site_fract_y
_atom_site_fract_z
Np1 Np 0.000 0.000 0.000
Rh1 Rh 0.500 0.500 0.500
S1 S 0.114 0.114 0.114
S2 S 0.886 0.886 0.886
```

Properties
Energy relative to the lowest polymorph listed for this composition ... 2.85 eV per formula unit
Raw formation energy ... -0.8 eV/f.u.



(2)
First-principles (PBE-GGA) data for crystalline Mn3Co2 at its relaxed geometry, as listed in the Alexandria database.

```
data_Mn3Co2
_chemical_formula_sum 'Mn6 Co4'
_cell_length_a 4.668
_cell_length_b 4.668
_cell_length_c 6.359
_cell_angle_alpha 108.72
_cell_angle_beta 108.72
_cell_angle_gamma 54.94
_space_group_name_H-M_alt 'P 1'
_space_group_IT_number 1
loop_
_space_group_symop_operation_xyz
'x,y,z'
loop_
_atom_site_label
_atom_site_type_symbol
_atom_site_fract_x
_atom_site_fract_y
_atom_site_fract_z
Mn1 Mn 0.032 0.365 0.654
Mn2 Mn 0.163 0.837 0.750
Mn3 Mn 0.365 0.032 0.154
Mn4 Mn 0.635 0.968 0.846
Mn5 Mn 0.837 0.163 0.250
Mn6 Mn 0.968 0.635 0.346
Co1 Co 0.235 0.565 0.050
Co2 Co 0.435 0.765 0.450
Co3 Co 0.565 0.235 0.550
Co4 Co 0.765 0.435 0.950
```

Properties
Total energy ... -83.07 eV per cell



(3)
First-principles (PBE-GGA) data for crystalline KTeP at its relaxed geometry, as listed in the Alexandria database.

```
data_KTeP
_chemical_formula_sum 'K1 Te1 P1'
_cell_length_a 6.539
_cell_length_b 6.539
_cell_length_c 6.539
_cell_angle_alpha 152.07
_cell_angle_beta 128.86
_cell_angle_gamma 59.27
_space_group_name_H-M_alt 'P 1'
_space_group_IT_number 1
loop_
_space_group_symop_operation_xyz
'x,y,z'
loop_
_atom_site_label
_atom_site_type_symbol
_atom_site_fract_x
_atom_site_fract_y
_atom_site_fract_z
K1 K 0.000 0.000 0.000
Te1 Te 0.349 0.349 0.000
P1 P 0.568 0.568 0.000
```

Properties
Energy relative to the lowest polymorph listed for this composition ... 1.20 eV per formula unit
Raw formation energy ... -0.2 eV/f.u.



(4)
First-principles (PBE-GGA) data for crystalline TbGd3N at its relaxed geometry, as listed in the Alexandria database.

```
data_TbGd3N
_chemical_formula_sum 'Tb1 Gd3 N1'
_cell_length_a 5.016
_cell_length_b 5.016
_cell_length_c 5.016
_cell_angle_alpha 90.00
_cell_angle_beta 90.00
_cell_angle_gamma 90.00
_space_group_name_H-M_alt 'P 1'
_space_group_IT_number 1
loop_
_space_group_symop_operation_xyz
'x,y,z'
loop_
_atom_site_label
_atom_site_type_symbol
_atom_site_fract_x
_atom_site_fract_y
_atom_site_fract_z
Tb1 Tb 0.000 0.000 0.000
Gd1 Gd 0.000 0.500 0.500
Gd2 Gd 0.500 0.000 0.500
Gd3 Gd 0.500 0.500 0.000
N1 N 0.500 0.500 0.500
```

Properties
Raw formation energy ... -2.5 eV/f.u.



(5)
First-principles (PBE-GGA) data for crystalline Mn3Cr at its relaxed geometry, as listed in the Alexandria database.

```
data_Mn3Cr
_chemical_formula_sum 'Mn6 Cr2'
_cell_length_a 4.479
_cell_length_b 4.479
_cell_length_c 4.479
_cell_angle_alpha 90.00
_cell_angle_beta 90.00
_cell_angle_gamma 90.00
_space_group_name_H-M_alt 'P 1'
_space_group_IT_number 1
loop_
_space_group_symop_operation_xyz
'x,y,z'
loop_
_atom_site_label
_atom_site_type_symbol
_atom_site_fract_x
_atom_site_fract_y
_atom_site_fract_z
Mn1 Mn 0.000 0.250 0.500
Mn2 Mn 0.000 0.750 0.500
Mn3 Mn 0.250 0.500 0.000
Mn4 Mn 0.500 0.000 0.250
Mn5 Mn 0.500 0.000 0.750
Mn6 Mn 0.750 0.500 0.000
Cr1 Cr 0.000 0.000 0.000
Cr2 Cr 0.500 0.500 0.500
```

Properties
Total energy ... -73.56 eV per cell



(6)
First-principles (PBE-GGA) data for crystalline CsCaSmO3 at its relaxed geometry, as listed in the Alexandria database.

```
data_CsCaSmO3
_chemical_formula_sum 'Cs2 Ca2 Sm2 O6'
_cell_length_a 8.261
_cell_length_b 3.615
_cell_length_c 10.063
_cell_angle_alpha 90.00
_cell_angle_beta 95.10
_cell_angle_gamma 90.00
_space_group_name_H-M_alt 'P 1'
_space_group_IT_number 1
loop_
_space_group_symop_operation_xyz
'x,y,z'
loop_
_atom_site_label
_atom_site_type_symbol
_atom_site_fract_x
_atom_site_fract_y
_atom_site_fract_z
Cs1 Cs 0.127 0.250 0.197
Cs2 Cs 0.873 0.750 0.803
Ca1 Ca 0.148 0.250 0.565
Ca2 Ca 0.852 0.750 0.435
Sm1 Sm 0.401 0.750 0.869
Sm2 Sm 0.599 0.250 0.131
O1 O 0.129 0.750 0.436
O2 O 0.253 0.250 0.784
O3 O 0.403 0.750 0.088
O4 O 0.597 0.250 0.912
O5 O 0.747 0.750 0.216
O6 O 0.871 0.250 0.564
```

Properties
Raw formation energy ... -15.1 eV/f.u.



(7)
First-principles (PBE-GGA) data for crystalline TbDy8Te2 at its relaxed geometry, as listed in the Alexandria database.

```
data_TbDy8Te2
_chemical_formula_sum 'Tb1 Dy8 Te2'
_cell_length_a 8.636
_cell_length_b 8.636
_cell_length_c 5.703
_cell_angle_alpha 97.09
_cell_angle_beta 97.09
_cell_angle_gamma 61.11
_space_group_name_H-M_alt 'P 1'
_space_group_IT_number 1
loop_
_space_group_symop_operation_xyz
'x,y,z'
loop_
_atom_site_label
_atom_site_type_symbol
_atom_site_fract_x
_atom_site_fract_y
_atom_site_fract_z
Tb1 Tb 0.000 0.000 0.000
Dy1 Dy 0.215 0.215 0.131
Dy2 Dy 0.234 0.605 0.229
Dy3 Dy 0.354 0.354 0.710
Dy4 Dy 0.395 0.766 0.771
Dy5 Dy 0.605 0.234 0.229
Dy6 Dy 0.646 0.646 0.290
Dy7 Dy 0.766 0.395 0.771
Dy8 Dy 0.785 0.785 0.869
Te1 Te 0.131 0.131 0.584
Te2 Te 0.869 0.869 0.416
```

Properties
Raw formation energy ... -1.3 eV/f.u.



(8)
First-principles (PBE-GGA) data for crystalline Cs2TaOsI6 at its relaxed geometry, as listed in the Alexandria database.

```
data_Cs2TaOsI6
_chemical_formula_sum 'Cs2 Ta1 Os1 I6'
_cell_length_a 8.060
_cell_length_b 8.060
_cell_length_c 8.060
_cell_angle_alpha 119.84
_cell_angle_beta 119.84
_cell_angle_gamma 90.28
_space_group_name_H-M_alt 'P 1'
_space_group_IT_number 1
loop_
_space_group_symop_operation_xyz
'x,y,z'
loop_
_atom_site_label
_atom_site_type_symbol
_atom_site_fract_x
_atom_site_fract_y
_atom_site_fract_z
Cs1 Cs 0.250 0.750 0.500
Cs2 Cs 0.750 0.250 0.500
Ta1 Ta 0.000 0.000 0.000
Os1 Os 0.500 0.500 0.000
I1 I 0.254 0.254 0.000
I2 I 0.254 0.254 0.507
I3 I 0.254 0.746 0.000
I4 I 0.746 0.254 0.000
I5 I 0.746 0.746 0.000
I6 I 0.746 0.746 0.493
```

Properties
Raw formation energy ... -2.1 eV/f.u.



(9)
First-principles (PBE-GGA) data for crystalline Sr2TaSi at its relaxed geometry, as listed in the Alexandria database.

```
data_Sr2TaSi
_chemical_formula_sum 'Sr2 Ta1 Si1'
_cell_length_a 3.199
_cell_length_b 3.199
_cell_length_c 10.124
_cell_angle_alpha 90.00
_cell_angle_beta 90.00
_cell_angle_gamma 90.00
_space_group_name_H-M_alt 'P 1'
_space_group_IT_number 1
loop_
_space_group_symop_operation_xyz
'x,y,z'
loop_
_atom_site_label
_atom_site_type_symbol
_atom_site_fract_x
_atom_site_fract_y
_atom_site_fract_z
Sr1 Sr 0.000 0.000 0.227
Sr2 Sr 0.000 0.000 0.773
Ta1 Ta 0.500 0.500 0.500
Si1 Si 0.500 0.500 0.000
```

Properties
Raw formation energy ... 2.4 eV/f.u.



(10)
First-principles (PBE-GGA) data for crystalline KRbCa2F at its relaxed geometry, as listed in the Alexandria database.

```
data_KRbCa2F
_chemical_formula_sum 'K1 Rb1 Ca2 F1'
_cell_length_a 5.274
_cell_length_b 5.274
_cell_length_c 7.231
_cell_angle_alpha 90.00
_cell_angle_beta 90.00
_cell_angle_gamma 90.00
_space_group_name_H-M_alt 'P 1'
_space_group_IT_number 1
loop_
_space_group_symop_operation_xyz
'x,y,z'
loop_
_atom_site_label
_atom_site_type_symbol
_atom_site_fract_x
_atom_site_fract_y
_atom_site_fract_z
K1 K 0.000 0.000 0.000
Rb1 Rb 0.500 0.500 0.000
Ca1 Ca 0.000 0.500 0.500
Ca2 Ca 0.500 0.000 0.500
F1 F 0.500 0.500 0.500
```

Properties
Energy relative to the lowest polymorph listed for this composition ... 0.00 eV per formula unit
Raw formation energy ... -4.1 eV/f.u.



(11)
First-principles (PBE-GGA) data for crystalline GdSbPdPt at its relaxed geometry, as listed in the Alexandria database.

```
data_GdSbPdPt
_chemical_formula_sum 'Gd1 Sb1 Pd1 Pt1'
_cell_length_a 4.860
_cell_length_b 4.860
_cell_length_c 4.860
_cell_angle_alpha 60.00
_cell_angle_beta 60.00
_cell_angle_gamma 60.00
_space_group_name_H-M_alt 'P 1'
_space_group_IT_number 1
loop_
_space_group_symop_operation_xyz
'x,y,z'
loop_
_atom_site_label
_atom_site_type_symbol
_atom_site_fract_x
_atom_site_fract_y
_atom_site_fract_z
Gd1 Gd 0.000 0.000 0.000
Sb1 Sb 0.500 0.500 0.500
Pd1 Pd 0.750 0.750 0.750
Pt1 Pt 0.250 0.250 0.250
```

Properties
Raw formation energy ... -3.3 eV/f.u.



(12)
First-principles (PBE-GGA) data for crystalline Nd4Dy5Er at its relaxed geometry, as listed in the Alexandria database.

```
data_Nd4Dy5Er
_chemical_formula_sum 'Nd4 Dy5 Er1'
_cell_length_a 8.122
_cell_length_b 8.122
_cell_length_c 8.122
_cell_angle_alpha 97.78
_cell_angle_beta 97.78
_cell_angle_gamma 136.82
_space_group_name_H-M_alt 'P 1'
_space_group_IT_number 1
loop_
_space_group_symop_operation_xyz
'x,y,z'
loop_
_atom_site_label
_atom_site_type_symbol
_atom_site_fract_x
_atom_site_fract_y
_atom_site_fract_z
Nd1 Nd 0.000 0.323 0.323
Nd2 Nd 0.000 0.677 0.677
Nd3 Nd 0.323 0.000 0.323
Nd4 Nd 0.677 0.000 0.677
Dy1 Dy 0.306 0.306 0.623
Dy2 Dy 0.306 0.683 0.000
Dy3 Dy 0.683 0.306 0.000
Dy4 Dy 0.683 0.683 0.377
Dy5 Dy 0.757 0.757 0.000
Er1 Er 0.233 0.233 0.000
```

Properties
Energy relative to the lowest polymorph listed for this composition ... 0.50 eV per formula unit



Size of the total moment? In order: 1.16; 0.05; 0.00; 4.54; 0.64; 0.01; 0.00; 0.30; 0.11; 0.00; 1.76; 0.00 μB/atom.